Version 1
Density functional theory data (PBE) for an optimized crystal structure of MgCrP2.

Calculated values
Crystal system = tetragonal

Cell: 2.9583 2.9583 6.3911 Å, 90.00 90.00 90.00°
Space group P4/mmm (No. 123)
Unique sites:
Mg 0.0000 0.0000 0.0000 (multiplicity 1)
Cr 0.0000 0.0000 0.5000 (multiplicity 1)
P 0.5000 0.5000 0.2974 (multiplicity 2)

Version 2
Density functional theory data (PBE) for an optimized crystal structure of MgCrP2.

Calculated values
Crystal system = cubic

Cell: 6.2247 6.2247 6.2247 Å, 90.00 90.00 90.00°
Space group Fm-3m (No. 225)
Unique sites:
Mg 0.0000 0.0000 0.0000 (multiplicity 4)
Cr 0.0000 0.0000 0.5000 (multiplicity 4)
P 0.2500 0.2500 0.2500 (multiplicity 8)

Version 3
Density functional theory data (PBE) for an optimized crystal structure of MgCrP2.

Calculated values
Crystal system = orthorhombic

Cell: 5.5296 6.6917 3.3056 Å, 90.00 90.00 90.00°
Space group Cmmm (No. 65)
Unique sites:
Mg 0.0000 0.0000 0.0000 (multiplicity 2)
Cr 0.0000 0.5000 0.0000 (multiplicity 2)
P 0.2500 0.2500 0.5000 (multiplicity 4)

Version 4
Density functional theory data (PBE) for an optimized crystal structure of MgCrP2.

Calculated values
Crystal system = orthorhombic

Cell: 3.7645 4.9596 6.7454 Å, 90.00 90.00 90.00°
Space group Immm (No. 71)
Unique sites:
Mg 0.0000 0.0000 0.0000 (multiplicity 2)
Cr 0.0000 0.0000 0.5000 (multiplicity 2)
P 0.0000 0.5000 0.2260 (multiplicity 4)

Energy relative to the most stable one, in eV/atom: version 1 0.000; version 2 0.243; version 3 0.232; version 4 0.197

Version 1
Density functional theory data (PBE) for an optimized crystal structure of MgCrP2.

Calculated values
Crystal system = orthorhombic

Cell: 3.2695 4.1386 9.6554 Å, 90.00 90.00 90.00°
Space group Cmm2 (No. 35)
Unique sites:
Mg 0.0000 0.0000 0.0000 (multiplicity 2)
Cr 0.0000 0.5000 0.7698 (multiplicity 2)
P 0.0000 0.0000 0.5970 (multiplicity 2)
P 0.0000 0.5000 0.2203 (multiplicity 2)

Version 2
Density functional theory data (PBE) for an optimized crystal structure of MgCrP2.

Calculated values
Crystal system = cubic

Cell: 6.2950 6.2950 6.2950 Å, 90.00 90.00 90.00°
Space group F-43m (No. 216)
Unique sites:
Mg 0.0000 0.0000 0.0000 (multiplicity 4)
Cr 0.2500 0.2500 0.2500 (multiplicity 4)
P 0.0000 0.0000 0.5000 (multiplicity 4)
P 0.2500 0.2500 0.7500 (multiplicity 4)

Energy relative to the most stable one, in eV/atom: version 1 0.000; version 2 0.158

Version 1
Density functional theory data (PBE) for an optimized crystal structure of MgCrPS2.

Calculated values
Crystal system = tetragonal

Cell: 4.6678 4.6678 4.7453 Å, 90.00 90.00 90.00°
Space group P4/mmm (No. 123)
Unique sites:
Mg 0.0000 0.0000 0.0000 (multiplicity 1)
Cr 0.5000 0.5000 0.5000 (multiplicity 1)
P 0.0000 0.0000 0.5000 (multiplicity 1)
S 0.0000 0.5000 0.0000 (multiplicity 2)

Version 2
Density functional theory data (PBE) for an optimized crystal structure of MgCrPS2.

Calculated values
Crystal system = tetragonal

Cell: 4.6447 4.6447 4.4362 Å, 90.00 90.00 90.00°
Space group P4/mmm (No. 123)
Unique sites:
Mg 0.0000 0.0000 0.0000 (multiplicity 1)
Cr 0.5000 0.5000 0.5000 (multiplicity 1)
P 0.5000 0.5000 0.0000 (multiplicity 1)
S 0.0000 0.5000 0.5000 (multiplicity 2)

Energy relative to the most stable one, in eV/atom: version 1 1.054; version 2 0.000

Version 1
Density functional theory data (PBE) for an optimized crystal structure of MgCrPd6.

Calculated values
Crystal system = tetragonal

Cell: 3.9287 3.9287 7.9159 Å, 90.00 90.00 90.00°
Space group P4/mmm (No. 123)
Unique sites:
Mg 0.0000 0.0000 0.0000 (multiplicity 1)
Cr 0.0000 0.0000 0.5000 (multiplicity 1)
Pd 0.0000 0.5000 0.2564 (multiplicity 4)
Pd 0.5000 0.5000 0.0000 (multiplicity 1)
Pd 0.5000 0.5000 0.5000 (multiplicity 1)

Version 2
Density functional theory data (PBE) for an optimized crystal structure of MgCrPd6.

Calculated values
Crystal system = triclinic

Cell: 5.0326 5.0526 5.0932 Å, 94.33 93.84 94.19°
Space group P-1 (No. 2)
Unique sites:
Mg 0.0000 0.0000 0.0000 (multiplicity 1)
Cr 0.5000 0.5000 0.5000 (multiplicity 1)
Pd 0.0492 0.7491 0.4566 (multiplicity 2)
Pd 0.2515 0.5444 0.9453 (multiplicity 2)
Pd 0.4605 0.0478 0.7492 (multiplicity 2)

Energy relative to the most stable one, in eV/atom: version 1 0.000; version 2 0.129